(1)
Density functional theory data (PBE) for an optimized crystal structure of TbGdGe2.

a b c (Å): 4.0864 18.7840 5.5082
angles (deg): 90.00 90.00 90.00
Fractional coordinates of all 16 atoms:
Tb: 0.0000 0.2018 0.2500
Tb: 0.0000 0.7982 0.7500
Tb: 0.5000 0.2982 0.7500
Tb: 0.5000 0.7018 0.2500
Gd: 0.0000 0.4221 0.2500
Gd: 0.0000 0.5779 0.7500
Gd: 0.5000 0.0779 0.7500
Gd: 0.5000 0.9221 0.2500
Ge: 0.0000 0.0426 0.2500
Ge: 0.0000 0.1871 0.7500
Ge: 0.0000 0.8129 0.2500
Ge: 0.0000 0.9574 0.7500
Ge: 0.5000 0.3129 0.2500
Ge: 0.5000 0.4574 0.7500
Ge: 0.5000 0.5426 0.2500
Ge: 0.5000 0.6871 0.7500

Results
final energy: -83.36 eV per cell
calculated density: 7.25 g/cm³
excess energy over the best structure of this formula in the dataset: 299 meV/atom

(2)
Density functional theory data (PBE) for an optimized crystal structure of TbGd2Ge7.

a b c (Å): 12.9283 12.9283 4.1379
angles (deg): 90.00 90.00 162.25
Fractional coordinates of all 10 atoms:
Tb: 0.0000 0.0000 0.0000
Gd: 0.3154 0.6846 0.5000
Gd: 0.6846 0.3154 0.5000
Ge: 0.0918 0.9082 0.5000
Ge: 0.2176 0.7824 0.0000
Ge: 0.4062 0.5938 0.0000
Ge: 0.5000 0.5000 0.5000
Ge: 0.5938 0.4062 0.0000
Ge: 0.7824 0.2176 0.0000
Ge: 0.9082 0.0918 0.5000

Results
final energy: -51.76 eV per cell
calculated density: 7.73 g/cm³

(3)
Density functional theory data (PBE) for an optimized crystal structure of Tb2GdGe7.

a b c (Å): 12.8364 12.8364 4.1349
angles (deg): 90.00 90.00 162.10
Fractional coordinates of all 10 atoms:
Tb: 0.1852 0.8148 0.0000
Tb: 0.8148 0.1852 0.0000
Gd: 0.5000 0.5000 0.5000
Ge: 0.0000 0.0000 0.0000
Ge: 0.0946 0.9054 0.5000
Ge: 0.2829 0.7171 0.5000
Ge: 0.4073 0.5927 0.0000
Ge: 0.5927 0.4073 0.0000
Ge: 0.7171 0.2829 0.5000
Ge: 0.9054 0.0946 0.5000

Results
final energy: -51.69 eV per cell
calculated density: 7.80 g/cm³

(4)
Density functional theory data (PBE) for an optimized crystal structure of TbGdZn2Ge2.

a b c (Å): 4.2460 4.2460 15.8369
angles (deg): 90.00 90.00 120.00
Fractional coordinates of all 12 atoms:
Tb: 0.0000 0.0000 0.2500
Tb: 0.0000 0.0000 0.7500
Gd: 0.0000 0.0000 0.0000
Gd: 0.0000 0.0000 0.5000
Zn: 0.3333 0.6667 0.1452
Zn: 0.3333 0.6667 0.3548
Zn: 0.6667 0.3333 0.6452
Zn: 0.6667 0.3333 0.8548
Ge: 0.3333 0.6667 0.6150
Ge: 0.3333 0.6667 0.8850
Ge: 0.6667 0.3333 0.1150
Ge: 0.6667 0.3333 0.3850

Results
final energy: -50.34 eV per cell
calculated density: 7.96 g/cm³
excess energy over the best structure of this formula in the dataset: 0 meV/atom

(5)
Density functional theory data (PBE) for an optimized crystal structure of GdTcGe.

a b c (Å): 6.3638 6.3638 6.3638
angles (deg): 90.00 90.00 90.00
Fractional coordinates of all 12 atoms:
Gd: 0.0000 0.0000 0.0000
Gd: 0.0000 0.5000 0.5000
Gd: 0.5000 0.0000 0.5000
Gd: 0.5000 0.5000 0.0000
Tc: 0.0000 0.0000 0.5000
Tc: 0.0000 0.5000 0.0000
Tc: 0.5000 0.0000 0.0000
Tc: 0.5000 0.5000 0.5000
Ge: 0.2500 0.2500 0.2500
Ge: 0.2500 0.7500 0.7500
Ge: 0.7500 0.2500 0.7500
Ge: 0.7500 0.7500 0.2500

Results
final energy: -78.54 eV per cell
calculated density: 8.45 g/cm³
excess energy over the best structure of this formula in the dataset: 0 meV/atom

(6)
Density functional theory data (PBE) for an optimized crystal structure of GdTcGe.

a b c (Å): 6.5864 6.5864 6.5864
angles (deg): 90.00 90.00 90.00
Fractional coordinates of all 12 atoms:
Gd: 0.0000 0.0000 0.0000
Gd: 0.0000 0.5000 0.5000
Gd: 0.5000 0.0000 0.5000
Gd: 0.5000 0.5000 0.0000
Tc: 0.2500 0.2500 0.2500
Tc: 0.2500 0.7500 0.7500
Tc: 0.7500 0.2500 0.7500
Tc: 0.7500 0.7500 0.2500
Ge: 0.2500 0.2500 0.7500
Ge: 0.2500 0.7500 0.2500
Ge: 0.7500 0.2500 0.2500
Ge: 0.7500 0.7500 0.7500

Results
final energy: -67.96 eV per cell
calculated density: 7.62 g/cm³
excess energy over the best structure of this formula in the dataset: 882 meV/atom

(7)
Density functional theory data (PBE) for an optimized crystal structure of GdTlGe.

a b c (Å): 7.0227 7.0227 7.0227
angles (deg): 90.00 90.00 90.00
Fractional coordinates of all 12 atoms:
Gd: 0.0000 0.0000 0.0000
Gd: 0.0000 0.5000 0.5000
Gd: 0.5000 0.0000 0.5000
Gd: 0.5000 0.5000 0.0000
Tl: 0.2500 0.2500 0.2500
Tl: 0.2500 0.7500 0.7500
Tl: 0.7500 0.2500 0.7500
Tl: 0.7500 0.7500 0.2500
Ge: 0.0000 0.0000 0.5000
Ge: 0.0000 0.5000 0.0000
Ge: 0.5000 0.0000 0.0000
Ge: 0.5000 0.5000 0.5000

Results
final energy: -46.16 eV per cell
calculated density: 8.33 g/cm³
excess energy over the best structure of this formula in the dataset: 149 meV/atom

(8)
Density functional theory data (PBE) for an optimized crystal structure of GdTlGe.

a b c (Å): 7.0641 7.0641 7.0641
angles (deg): 90.00 90.00 90.00
Fractional coordinates of all 12 atoms:
Gd: 0.0000 0.0000 0.0000
Gd: 0.0000 0.5000 0.5000
Gd: 0.5000 0.0000 0.5000
Gd: 0.5000 0.5000 0.0000
Tl: 0.2500 0.2500 0.2500
Tl: 0.2500 0.7500 0.7500
Tl: 0.7500 0.2500 0.7500
Tl: 0.7500 0.7500 0.2500
Ge: 0.2500 0.2500 0.7500
Ge: 0.2500 0.7500 0.2500
Ge: 0.7500 0.2500 0.2500
Ge: 0.7500 0.7500 0.7500

Results
final energy: -47.95 eV per cell
calculated density: 8.18 g/cm³
excess energy over the best structure of this formula in the dataset: 0 meV/atom

(9)
Density functional theory data (PBE) for an optimized crystal structure of GdUGe.

a b c (Å): 6.9771 6.9771 6.9771
angles (deg): 90.00 90.00 90.00
Fractional coordinates of all 12 atoms:
Gd: 0.0000 0.0000 0.0000
Gd: 0.0000 0.5000 0.5000
Gd: 0.5000 0.0000 0.5000
Gd: 0.5000 0.5000 0.0000
U: 0.2500 0.2500 0.2500
U: 0.2500 0.7500 0.7500
U: 0.7500 0.2500 0.7500
U: 0.7500 0.7500 0.2500
Ge: 0.0000 0.0000 0.5000
Ge: 0.0000 0.5000 0.0000
Ge: 0.5000 0.0000 0.0000
Ge: 0.5000 0.5000 0.5000

Results
final energy: -73.54 eV per cell
calculated density: 9.15 g/cm³
excess energy over the best structure of this formula in the dataset: 0 meV/atom

(10)
Density functional theory data (PBE) for an optimized crystal structure of GdGeW.

a b c (Å): 6.4092 6.4092 6.4092
angles (deg): 90.00 90.00 90.00
Fractional coordinates of all 12 atoms:
Gd: 0.0000 0.0000 0.0000
Gd: 0.0000 0.5000 0.5000
Gd: 0.5000 0.0000 0.5000
Gd: 0.5000 0.5000 0.0000
Ge: 0.2500 0.2500 0.2500
Ge: 0.2500 0.7500 0.7500
Ge: 0.7500 0.2500 0.7500
Ge: 0.7500 0.7500 0.2500
W: 0.0000 0.0000 0.5000
W: 0.0000 0.5000 0.0000
W: 0.5000 0.0000 0.0000
W: 0.5000 0.5000 0.5000

Results
final energy: -84.79 eV per cell
calculated density: 10.44 g/cm³

(11)
Density functional theory data (PBE) for an optimized crystal structure of GdYGe2.

a b c (Å): 3.2828 5.8548 11.5183
angles (deg): 90.00 90.00 90.00
Fractional coordinates of all 8 atoms:
Gd: 0.0000 0.0000 0.0000
Gd: 0.0000 0.5000 0.5000
Y: 0.0000 0.0000 0.6996
Y: 0.0000 0.5000 0.1996
Ge: 0.0000 0.0000 0.2439
Ge: 0.0000 0.0000 0.4563
Ge: 0.0000 0.5000 0.7439
Ge: 0.0000 0.5000 0.9563

Results
final energy: -40.45 eV per cell
calculated density: 5.87 g/cm³
excess energy over the best structure of this formula in the dataset: 624 meV/atom

(12)
Density functional theory data (PBE) for an optimized crystal structure of GdYGe.

a b c (Å): 4.9850 4.9850 14.5590
angles (deg): 90.00 90.00 120.00
Fractional coordinates of all 12 atoms:
Gd: 0.3333 0.6667 0.1096
Gd: 0.3333 0.6667 0.3904
Gd: 0.6667 0.3333 0.6096
Gd: 0.6667 0.3333 0.8904
Y: 0.0000 0.0000 0.0000
Y: 0.0000 0.0000 0.2500
Y: 0.0000 0.0000 0.5000
Y: 0.0000 0.0000 0.7500
Ge: 0.3333 0.6667 0.6108
Ge: 0.3333 0.6667 0.8892
Ge: 0.6667 0.3333 0.1108
Ge: 0.6667 0.3333 0.3892

Results
final energy: -68.25 eV per cell
calculated density: 6.76 g/cm³